Record 1
Ac4LaSm after structural relaxation. Source: the Alexandria database, functional PBE.

a b c (Å): 7.1944 7.1944 7.1944
angles (deg): 60.00 60.00 60.00
Last column: nearest neighbours and their distance in Å.
Sites, in units of the cell vectors:
1 La 0.0000 0.0000 0.0000  12 Ac 4.22, 4 Sm 4.41
2 Sm 0.2500 0.2500 0.2500  12 Ac 4.22, 4 La 4.41
3 Ac 0.6245 0.1264 0.6245  6 Ac 3.58-3.61
4 Ac 0.6245 0.6245 0.1264  6 Ac 3.58-3.61
5 Ac 0.6245 0.6245 0.6245  6 Ac 3.58-3.61
6 Ac 0.1264 0.6245 0.6245  6 Ac 3.58-3.61

Results
Energy (Ry per atom): -0.2967
Symmetry: No. 216
Size of the total moment (μB/f.u.): 0.00
Calculated formation energy (eV/f.u.): 1.86

***

Record 2
Cu5C3 after structural relaxation. Source: the Alexandria database, functional PBE.

a b c (Å): 2.6271 2.6271 11.3607
angles (deg): 90.00 90.00 90.00
Last column: nearest neighbours and their distance in Å.
Sites, in units of the cell vectors:
1 Cu 0.5000 0.5000 0.6076  4 C 2.22, 1 Cu 2.44
2 Cu 0.0000 0.0000 0.2204  4 C 2.11
3 Cu 0.0000 0.0000 0.7796  4 C 2.11
4 Cu 0.0000 0.0000 0.0000  8 C 2.39, 6 Cu 2.50-2.63
5 Cu 0.5000 0.5000 0.3924  4 C 2.22, 1 Cu 2.44
6 C 0.5000 0.5000 0.1321  4 Cu 2.11
7 C 0.0000 0.0000 0.5000  8 Cu 2.22
8 C 0.5000 0.5000 0.8679  4 Cu 2.11

Results
Energy (Ry per atom): -0.3441
Symmetry: No. 123
Size of the total moment (μB/f.u.): 0.00
Calculated formation energy (eV/f.u.): 10.70

***

Record 3
TbTmRh after structural relaxation. Source: the Alexandria database, functional PBE.

a b c (Å): 3.4343 3.4343 6.7193
angles (deg): 104.81 104.81 90.00
Last column: nearest neighbours and their distance in Å.
Sites, in units of the cell vectors:
1 Tm 0.0369 0.0369 0.0738  4 Rh 2.90
2 Rh 0.6636 0.6636 0.3271  4 Tm 2.90, 4 Tb 2.97
3 Tb 0.2996 0.2996 0.5991  4 Rh 2.97, 1 Tm 3.29

Results
Energy (Ry per atom): -0.4455
Symmetry: No. 107
Size of the total moment (μB/f.u.): 0.00
Calculated formation energy (eV/f.u.): -1.73

***

Record 4
BaLaCrAg2 after structural relaxation. Source: the Alexandria database, functional PBE.

a b c (Å): 5.6760 5.6760 5.6784
angles (deg): 90.00 90.00 90.00
Last column: nearest neighbours and their distance in Å.
Sites, in units of the cell vectors:
1 Ag 0.0000 0.5000 0.0000  2 Ba 2.84
2 Ag 0.5000 0.0000 0.0000  2 Ba 2.84
3 Cr 0.0000 0.0000 0.5000  2 Ba 2.84
4 La 0.5000 0.5000 0.5000  4 Cr 4.01, 8 Ag 4.01
5 Ba 0.0000 0.0000 0.0000  4 Ag 2.84, 2 Cr 2.84

Results
Energy (Ry per atom): -0.2506
Symmetry: No. 123
Size of the total moment (μB/f.u.): 4.39
Calculated formation energy (eV/f.u.): 5.13